(1)
A relaxed CoNiAu2 crystal, computed with GGA-PBE. Values from VASP.

```
&SYSTEM
  ibrav = 0, nat = 4, ntyp = 3
/
ATOMIC_SPECIES
Ni 58.69 Ni.upf
Au 196.97 Au.upf
Co 58.93 Co.upf
ATOMIC_POSITIONS angstrom
Ni -1.0144 -2.5127 -0.0398
Au 0.0829 -9.2313 -1.1461
Au -2.9450 -8.1238 -0.2165
Co -2.0656 -5.5506 -0.1339
CELL_PARAMETERS angstrom
-0.2380 -4.4899 -1.9263
0.4604 -4.8140 0.7348
-4.3321 -1.4390 0.9617
```

Calculated values
Raw total energy = -18.72 eV per cell
Total magnetization = 2.329 μB/f.u.
V = 58.6 Å³/cell

(2)
A relaxed Co2Ni2Au crystal, computed with GGA-PBE. Values from VASP.

```
&SYSTEM
  ibrav = 0, nat = 5, ntyp = 3
/
ATOMIC_SPECIES
Ni 58.69 Ni.upf
Au 196.97 Au.upf
Co 58.93 Co.upf
ATOMIC_POSITIONS angstrom
Ni 0.5216 0.5208 2.5783
Ni 0.1607 2.8465 5.9715
Au 0.0000 0.0000 0.0000
Co 1.3165 2.3064 3.9518
Co -0.6342 1.0608 4.5980
CELL_PARAMETERS angstrom
-0.9445 -1.7157 2.7771
2.9568 0.7754 1.4847
-1.3300 4.3075 4.2880
```

Calculated values
Raw total energy = -27.43 eV per cell
Total magnetization = 4.703 μB/f.u.
V = 66.3 Å³/cell

(3)
A relaxed CoNiAu crystal, computed with GGA-PBE. Values from VASP.

```
&SYSTEM
  ibrav = 0, nat = 3, ntyp = 3
/
ATOMIC_SPECIES
Au 196.97 Au.upf
Ni 58.69 Ni.upf
Co 58.93 Co.upf
ATOMIC_POSITIONS angstrom
Au -4.0728 2.8228 0.1900
Ni 0.0000 0.0000 0.0000
Co -6.1092 4.2341 0.2851
CELL_PARAMETERS angstrom
-1.6537 3.5015 -1.1828
-3.9452 0.1759 -0.8939
-2.5467 1.9681 2.4567
```

Calculated values
Raw total energy = -14.60 eV per cell
Total magnetization = 2.471 μB/f.u.
V = 46.9 Å³/cell